## Tm4Ge6Ir7 (PBEsol)

Data for Tm4Ge6Ir7 after structural relaxation.

The value obtained for the density of states at the Fermi level is 5.51 states/eV per cell. Its energy of formation is -0.93 eV/atom. The mass density is 14.55 g/cm3.

Structure (POSCAR):
```
Tm4Ge6Ir7
1.0
-4.123 4.123 4.123
4.123 -4.123 4.123
4.123 4.123 -4.123
Tm Ge Ir
4 6 7
Direct
0.000 0.000 0.500
0.000 0.500 0.000
0.500 0.000 0.000
0.500 0.500 0.500
0.000 0.316 0.316
0.000 0.684 0.684
0.316 0.000 0.316
0.316 0.316 0.000
0.684 0.000 0.684
0.684 0.684 0.000
0.000 0.000 0.000
0.250 0.500 0.750
0.250 0.750 0.500
0.500 0.250 0.750
0.500 0.750 0.250
0.750 0.250 0.500
0.750 0.500 0.250
```

***

## Tm5Ge10Ir4 (PBEsol)

Data for Tm5Ge10Ir4 after structural relaxation.

The value obtained for the density of states at the Fermi level is 14.17 states/eV per cell. Its energy of formation is -0.81 eV/atom. The mass density is 11.16 g/cm3.

Structure (POSCAR):
```
Tm5Ge10Ir4
1.0
12.809 0.000 0.000
0.000 12.809 0.000
0.000 0.000 4.245
Tm Ge Ir
10 20 8
Direct
0.000 0.000 0.000
0.116 0.384 0.500
0.173 0.673 0.500
0.327 0.173 0.500
0.384 0.884 0.500
0.500 0.500 0.000
0.616 0.116 0.500
0.673 0.827 0.500
0.827 0.327 0.500
0.884 0.616 0.500
0.005 0.845 0.500
0.067 0.567 0.000
0.155 0.005 0.500
0.165 0.199 0.000
0.199 0.835 0.000
0.301 0.335 0.000
0.335 0.699 0.000
0.345 0.505 0.500
0.433 0.067 0.000
0.495 0.345 0.500
0.505 0.655 0.500
0.567 0.933 0.000
0.655 0.495 0.500
0.665 0.301 0.000
0.699 0.665 0.000
0.801 0.165 0.000
0.835 0.801 0.000
0.845 0.995 0.500
0.933 0.433 0.000
0.995 0.155 0.500
0.019 0.753 0.000
0.247 0.019 0.000
0.253 0.519 0.000
0.481 0.253 0.000
0.519 0.747 0.000
0.747 0.481 0.000
0.753 0.981 0.000
0.981 0.247 0.000
```

***

## TmGeIr (PBEsol)

Data for TmGeIr after structural relaxation.

The value obtained for the density of states at the Fermi level is 6.41 states/eV per cell. Its energy of formation is -0.96 eV/atom. The mass density is 13.42 g/cm3.

Structure (POSCAR):
```
TmGeIr
1.0
6.737 0.000 0.000
0.000 4.316 0.000
0.000 0.000 7.386
Tm Ge Ir
4 4 4
Direct
0.012 0.250 0.200
0.488 0.750 0.700
0.512 0.250 0.300
0.988 0.750 0.800
0.181 0.250 0.583
0.319 0.750 0.083
0.681 0.250 0.917
0.819 0.750 0.417
0.209 0.750 0.408
0.291 0.250 0.908
0.709 0.750 0.092
0.791 0.250 0.592
```

***

> What is the formula in the third record?

TmGeIr